[1]
# DyHo3Ru

DyHo3Ru after structural relaxation (GGA-PBE, Alexandria).

a = 4.8230 Å, b = 9.6975 Å, c = 6.4681 Å
α = 90.00°, β = 111.81°, γ = 90.00°
Positions (direct):
Dy: 0.1383 0.2500 0.2749
Dy: 0.8617 0.7500 0.7251
Ho: 0.1371 0.7500 0.2733
Ho: 0.3646 0.0000 0.7310
Ho: 0.3646 0.5000 0.7310
Ho: 0.6354 0.0000 0.2690
Ho: 0.6354 0.5000 0.2690
Ho: 0.8629 0.2500 0.7267
Ru: 0.4997 0.2500 0.9988
Ru: 0.5003 0.7500 0.0012

Summary:
Crystal system   monoclinic
Calculated formation energy   -144.1 meV per atom
Uncorrected energy   -5.67 eV/atom
Energy above the most stable polymorph in this dataset   0.001 eV per atom
Spin magnetization   0.00 Bohr magnetons per cell


[2]
# AgC2

AgC2 after structural relaxation (GGA-PBE, Alexandria).

a = 4.9527 Å, b = 7.3664 Å, c = 5.3771 Å
α = 90.00°, β = 90.00°, γ = 90.00°
Positions (direct):
Ag: 0.2470 0.2500 0.0000
Ag: 0.2530 0.7500 0.5000
Ag: 0.7470 0.2500 0.5000
Ag: 0.7530 0.7500 0.0000
C: 0.2145 0.2500 0.3857
C: 0.2204 0.7500 0.1142
C: 0.2796 0.2500 0.6142
C: 0.2855 0.7500 0.8857
C: 0.7145 0.2500 0.1143
C: 0.7204 0.7500 0.3858
C: 0.7796 0.2500 0.8858
C: 0.7855 0.7500 0.6143

Summary:
Crystal system   orthorhombic
Calculated formation energy   1490.7 meV per atom
Uncorrected energy   -5.61 eV/atom
Energy above the most stable polymorph in this dataset   1.158 eV per atom
Spin magnetization   0.00 Bohr magnetons per cell


[3]
# Ca2HgPt

Ca2HgPt after structural relaxation (GGA-PBE, Alexandria).

a = 5.0379 Å, b = 5.0379 Å, c = 5.0379 Å
α = 60.00°, β = 60.00°, γ = 60.00°
Positions (direct):
Ca: 0.0000 0.0000 0.0000
Ca: 0.2500 0.2500 0.2500
Hg: 0.5000 0.5000 0.5000
Pt: 0.7500 0.7500 0.7500

Summary:
Crystal system   cubic
Calculated formation energy   -441.7 meV per atom
Uncorrected energy   -3.03 eV/atom
Spin magnetization   0.00 Bohr magnetons per cell


[4]
# AlZn2Os

AlZn2Os after structural relaxation (GGA-PBE, Alexandria).

a = 9.7629 Å, b = 9.7629 Å, c = 9.7629 Å
α = 158.41°, β = 158.41°, γ = 30.72°
Positions (direct):
Al: 0.0000 0.0000 0.0000
Al: 0.7500 0.2500 0.5000
Zn: 0.1454 0.6250 0.0204
Zn: 0.3750 0.3954 0.5204
Zn: 0.6046 0.1250 0.9796
Zn: 0.8750 0.8546 0.4796
Os: 0.2500 0.7500 0.5000
Os: 0.5000 0.5000 0.0000

Summary:
Crystal system   tetragonal
Calculated formation energy   299.4 meV per atom
Uncorrected energy   -4.08 eV/atom
Spin magnetization   0.91 Bohr magnetons per cell


[5]
# Tl2GeTe3

Tl2GeTe3 after structural relaxation (GGA-PBE, Alexandria).

a = 8.7643 Å, b = 8.7643 Å, c = 16.2777 Å
α = 91.39°, β = 91.39°, γ = 129.51°
Positions (direct):
Tl: 0.0641 0.4471 0.6543
Tl: 0.1877 0.2797 0.0659
Tl: 0.2797 0.1877 0.5658
Tl: 0.4471 0.0641 0.1543
Tl: 0.5529 0.9359 0.8457
Tl: 0.7203 0.8123 0.4342
Tl: 0.8123 0.7203 0.9342
Tl: 0.9359 0.5529 0.3457
Ge: 0.2031 0.2709 0.3368
Ge: 0.2709 0.2031 0.8368
Ge: 0.7291 0.7969 0.1632
Ge: 0.7969 0.7291 0.6632
Te: 0.0327 0.2715 0.8744
Te: 0.1301 0.8699 0.7500
Te: 0.2340 0.4910 0.4567
Te: 0.2715 0.0327 0.3744
Te: 0.4700 0.5300 0.7500
Te: 0.4910 0.2340 0.9567
Te: 0.5090 0.7660 0.0433
Te: 0.5300 0.4700 0.2500
Te: 0.7285 0.9673 0.6256
Te: 0.7660 0.5090 0.5433
Te: 0.8699 0.1301 0.2500
Te: 0.9673 0.7285 0.1256

Summary:
Crystal system   monoclinic
Formation energy without anion corrections   -0.157 eV per atom
Uncorrected energy   -3.29 eV/atom
Energy above the most stable polymorph in this dataset   0.054 eV per atom
Spin magnetization   0.00 Bohr magnetons per cell


[6]
# RbBaU2O7

RbBaU2O7 after structural relaxation (GGA-PBE, Alexandria).

a = 12.1412 Å, b = 12.1412 Å, c = 12.1412 Å
α = 159.33°, β = 159.33°, γ = 29.40°
Positions (direct):
Rb: 0.0000 0.0000 0.0000
Ba: 0.2500 0.7500 0.5000
U: 0.6562 0.1562 0.5000
U: 0.8438 0.3438 0.5000
O: 0.1671 0.1671 0.0000
O: 0.3314 0.3314 0.0000
O: 0.5748 0.0748 0.5000
O: 0.6686 0.6686 0.0000
O: 0.7500 0.2500 0.5000
O: 0.8329 0.8329 0.0000
O: 0.9252 0.4252 0.5000

Summary:
Crystal system   tetragonal
Formation energy without anion corrections   -3.005 eV per atom
Uncorrected energy   -8.48 eV/atom
Spin magnetization   1.00 Bohr magnetons per cell


[7]
# BeCr2Mo

BeCr2Mo after structural relaxation (GGA-PBE, Alexandria).

a = 2.5125 Å, b = 2.5125 Å, c = 7.6732 Å
α = 90.00°, β = 90.00°, γ = 90.00°
Positions (direct):
Be: 0.0000 0.0000 0.0000
Cr: 0.5000 0.5000 0.2101
Cr: 0.5000 0.5000 0.7899
Mo: 0.0000 0.0000 0.5000

Summary:
Crystal system   tetragonal
Calculated formation energy   256.6 meV per atom
Uncorrected energy   -8.19 eV/atom
Spin magnetization   0.00 Bohr magnetons per cell


[8]
# CsZrTe3Rh

CsZrTe3Rh after structural relaxation (GGA-PBE, Alexandria).

a = 10.1710 Å, b = 4.0492 Å, c = 11.0290 Å
α = 90.00°, β = 117.24°, γ = 90.00°
Positions (direct):
Cs: 0.2387 0.2500 0.2558
Cs: 0.7613 0.7500 0.7442
Zr: 0.2973 0.7500 0.8342
Zr: 0.7027 0.2500 0.1658
Te: 0.1139 0.2500 0.8681
Te: 0.1997 0.7500 0.5401
Te: 0.4769 0.7500 0.1410
Te: 0.5231 0.2500 0.8590
Te: 0.8003 0.2500 0.4599
Te: 0.8861 0.7500 0.1319
Rh: 0.0890 0.2500 0.6150
Rh: 0.9110 0.7500 0.3850

Summary:
Crystal system   monoclinic
Formation energy without anion corrections   -0.808 eV per atom
Uncorrected energy   -5.17 eV/atom
Spin magnetization   0.00 Bohr magnetons per cell